# RbBrCl3 PBE optimized geometry
# * VASP energy: -1.66 eV/atom
data_RbBrCl3
_chemical_formula_sum 'Rb1 Br1 Cl3'
_symmetry_space_group_name_H-M 'P 1'
_symmetry_Int_Tables_number 1
_symmetry_space_group_name_Hall 'P 1'
_cell_length_a 6.3822
_cell_length_b 6.3822
_cell_length_c 6.3822
_cell_angle_alpha 90.00
_cell_angle_beta 90.00
_cell_angle_gamma 90.00
loop_
_atom_site_label
_atom_site_type_symbol
_atom_site_fract_x
_atom_site_fract_y
_atom_site_fract_z
_atom_site_occupancy
Rb1 Rb 0.0000 0.0000 0.0000 1
Cl1 Cl 0.5000 0.0000 0.0000 1
Br1 Br 0.5000 0.5000 0.5000 1
Cl2 Cl 0.0000 0.0000 0.5000 1
Cl3 Cl 0.0000 0.5000 0.0000 1



# RbBrCl3 PBE optimized geometry
# * VASP energy: -2.47 eV/atom
data_RbBrCl3
_chemical_formula_sum 'Rb4 Br4 Cl12'
_symmetry_space_group_name_H-M 'P 1'
_symmetry_Int_Tables_number 1
_symmetry_space_group_name_Hall 'P 1'
_cell_length_a 15.4961
_cell_length_b 9.0648
_cell_length_c 9.0648
_cell_angle_alpha 111.42
_cell_angle_beta 128.58
_cell_angle_gamma 51.42
loop_
_atom_site_label
_atom_site_type_symbol
_atom_site_fract_x
_atom_site_fract_y
_atom_site_fract_z
_atom_site_occupancy
Br1 Br 0.2500 0.9389 0.4389 1
Cl1 Cl 0.4346 0.1385 0.0115 1
Cl2 Cl 0.8460 0.1337 0.4876 1
Cl3 Cl 0.8471 0.5160 0.8738 1
Rb1 Rb 0.3727 0.3868 0.6063 1
Cl4 Cl 0.6540 0.9876 0.6337 1
Br2 Br 0.7500 0.0611 0.5611 1
Cl5 Cl 0.3471 0.6262 0.9840 1
Rb2 Rb 0.8727 0.8937 0.1132 1
Cl6 Cl 0.1540 0.8663 0.5124 1
Br3 Br 0.7500 0.4470 0.9470 1
Cl7 Cl 0.9346 0.4885 0.3615 1
Cl8 Cl 0.1529 0.4840 0.1262 1
Cl9 Cl 0.3460 0.0124 0.3663 1
Rb3 Rb 0.6273 0.6132 0.3937 1
Cl10 Cl 0.0654 0.5115 0.6385 1
Rb4 Rb 0.1273 0.1063 0.8868 1
Br4 Br 0.2500 0.5530 0.0530 1
Cl11 Cl 0.5654 0.8615 0.9885 1
Cl12 Cl 0.6529 0.3738 0.0160 1



# RbBrCl3 PBE optimized geometry
# * VASP energy: -2.40 eV/atom
data_RbBrCl3
_chemical_formula_sum 'Rb4 Br4 Cl12'
_symmetry_space_group_name_H-M 'P 1'
_symmetry_Int_Tables_number 1
_symmetry_space_group_name_Hall 'P 1'
_cell_length_a 23.8815
_cell_length_b 7.9518
_cell_length_c 9.4171
_cell_angle_alpha 90.00
_cell_angle_beta 157.58
_cell_angle_gamma 90.00
loop_
_atom_site_label
_atom_site_type_symbol
_atom_site_fract_x
_atom_site_fract_y
_atom_site_fract_z
_atom_site_occupancy
Cl1 Cl 0.6054 0.7133 0.5353 1
Cl2 Cl 0.4953 0.2030 0.0702 1
Cl3 Cl 0.0047 0.7030 0.4298 1
Br1 Br 0.8590 0.7948 0.2805 1
Rb1 Rb 0.1305 0.2344 0.2083 1
Br2 Br 0.1410 0.2052 0.7195 1
Cl4 Cl 0.7916 0.4163 0.3851 1
Rb2 Rb 0.3695 0.7344 0.2917 1
Cl5 Cl 0.7084 0.9163 0.1149 1
Rb3 Rb 0.8695 0.7656 0.7917 1
Br3 Br 0.6410 0.2948 0.2195 1
Cl6 Cl 0.5047 0.7970 0.9298 1
Cl7 Cl 0.2916 0.0837 0.8851 1
Cl8 Cl 0.9953 0.2970 0.5702 1
Cl9 Cl 0.1054 0.7867 0.0353 1
Br4 Br 0.3590 0.7052 0.7805 1
Rb4 Rb 0.6305 0.2656 0.7083 1
Cl10 Cl 0.8946 0.2133 0.9647 1
Cl11 Cl 0.2084 0.5837 0.6149 1
Cl12 Cl 0.3946 0.2867 0.4647 1



# RbBrCl3 PBE optimized geometry
# * VASP energy: -2.44 eV/atom
data_RbBrCl3
_chemical_formula_sum 'Rb2 Br2 Cl6'
_symmetry_space_group_name_H-M 'P 1'
_symmetry_Int_Tables_number 1
_symmetry_space_group_name_Hall 'P 1'
_cell_length_a 7.9089
_cell_length_b 9.6620
_cell_length_c 6.4271
_cell_angle_alpha 106.31
_cell_angle_beta 55.88
_cell_angle_gamma 98.73
loop_
_atom_site_label
_atom_site_type_symbol
_atom_site_fract_x
_atom_site_fract_y
_atom_site_fract_z
_atom_site_occupancy
Br1 Br 0.9015 0.8124 0.1063 1
Cl1 Cl 0.4575 0.4843 0.3050 1
Cl2 Cl 0.0587 0.2626 0.8752 1
Br2 Br 0.2025 0.6316 0.6595 1
Rb1 Rb 0.8274 0.5082 0.4633 1
Cl3 Cl 0.6784 0.8046 0.9590 1
Rb2 Rb 0.3999 0.1095 0.2514 1
Cl4 Cl 0.8205 0.2424 0.7734 1
Cl5 Cl 0.5632 0.2189 0.6846 1
Cl6 Cl 0.1059 0.8174 0.2771 1



# Rb2BrCl PBE optimized geometry
# * VASP energy: -3.15 eV/atom
data_Rb2BrCl
_chemical_formula_sum 'Rb2 Br1 Cl1'
_symmetry_space_group_name_H-M 'P 1'
_symmetry_Int_Tables_number 1
_symmetry_space_group_name_Hall 'P 1'
_cell_length_a 4.0991
_cell_length_b 4.0991
_cell_length_c 8.2127
_cell_angle_alpha 90.00
_cell_angle_beta 90.00
_cell_angle_gamma 90.00
loop_
_atom_site_label
_atom_site_type_symbol
_atom_site_fract_x
_atom_site_fract_y
_atom_site_fract_z
_atom_site_occupancy
Cl1 Cl 0.5000 0.5000 0.0000 1
Rb1 Rb 0.0000 0.0000 0.7589 1
Br1 Br 0.5000 0.5000 0.5000 1
Rb2 Rb 0.0000 0.0000 0.2411 1



# RbBrCl3 PBE optimized geometry
# * VASP energy: -2.15 eV/atom
data_RbBrCl3
_chemical_formula_sum 'Rb1 Br1 Cl3'
_symmetry_space_group_name_H-M 'P 1'
_symmetry_Int_Tables_number 1
_symmetry_space_group_name_Hall 'P 1'
_cell_length_a 7.2884
_cell_length_b 7.2884
_cell_length_c 7.2884
_cell_angle_alpha 62.99
_cell_angle_beta 62.99
_cell_angle_gamma 62.99
loop_
_atom_site_label
_atom_site_type_symbol
_atom_site_fract_x
_atom_site_fract_y
_atom_site_fract_z
_atom_site_occupancy
Cl1 Cl 0.8138 0.3967 0.8138 1
Cl2 Cl 0.8138 0.8138 0.3967 1
Cl3 Cl 0.3967 0.8138 0.8138 1
Br1 Br 0.0220 0.0220 0.0220 1
Rb1 Rb 0.8288 0.8288 0.8288 1



# Rb2Br7Cl PBE optimized geometry
# * VASP energy: -2.17 eV/atom
data_Rb2Br7Cl
_chemical_formula_sum 'Rb2 Br7 Cl1'
_symmetry_space_group_name_H-M 'P 1'
_symmetry_Int_Tables_number 1
_symmetry_space_group_name_Hall 'P 1'
_cell_length_a 8.1192
_cell_length_b 8.1192
_cell_length_c 8.1847
_cell_angle_alpha 60.26
_cell_angle_beta 60.26
_cell_angle_gamma 90.00
loop_
_atom_site_label
_atom_site_type_symbol
_atom_site_fract_x
_atom_site_fract_y
_atom_site_fract_z
_atom_site_occupancy
Cl1 Cl 0.5000 0.5000 0.0000 1
Br1 Br 0.2887 0.2887 0.4227 1
Br2 Br 0.2258 0.2258 0.0000 1
Br3 Br 0.7742 0.2258 0.0000 1
Br4 Br 0.7113 0.7113 0.5773 1
Rb1 Rb 0.7500 0.2500 0.5000 1
Br5 Br 0.7742 0.7742 0.0000 1
Br6 Br 0.0000 0.0000 0.0000 1
Rb2 Rb 0.2500 0.7500 0.5000 1
Br7 Br 0.2258 0.7742 0.0000 1



# RbBr2Cl PBE optimized geometry
# * VASP energy: -2.50 eV/atom
data_RbBr2Cl
_chemical_formula_sum 'Rb1 Br2 Cl1'
_symmetry_space_group_name_H-M 'P 1'
_symmetry_Int_Tables_number 1
_symmetry_space_group_name_Hall 'P 1'
_cell_length_a 4.6663
_cell_length_b 4.6663
_cell_length_c 8.2137
_cell_angle_alpha 90.00
_cell_angle_beta 90.00
_cell_angle_gamma 90.00
loop_
_atom_site_label
_atom_site_type_symbol
_atom_site_fract_x
_atom_site_fract_y
_atom_site_fract_z
_atom_site_occupancy
Cl1 Cl 0.5000 0.5000 0.0000 1
Br1 Br 0.5000 0.5000 0.6460 1
Br2 Br 0.5000 0.5000 0.3540 1
Rb1 Rb 0.0000 0.0000 0.0000 1



# RbBrCl3 PBE optimized geometry
# * VASP energy: -2.45 eV/atom
data_RbBrCl3
_chemical_formula_sum 'Rb2 Br2 Cl6'
_symmetry_space_group_name_H-M 'P 1'
_symmetry_Int_Tables_number 1
_symmetry_space_group_name_Hall 'P 1'
_cell_length_a 7.7067
_cell_length_b 9.0598
_cell_length_c 6.4128
_cell_angle_alpha 75.10
_cell_angle_beta 69.85
_cell_angle_gamma 73.05
loop_
_atom_site_label
_atom_site_type_symbol
_atom_site_fract_x
_atom_site_fract_y
_atom_site_fract_z
_atom_site_occupancy
Rb1 Rb 0.4458 0.9032 0.7578 1
Br1 Br 0.8812 0.8937 0.2329 1
Cl1 Cl 0.6359 0.7737 0.2235 1
Cl2 Cl 0.4730 0.2617 0.4309 1
Cl3 Cl 0.1153 0.2862 0.6481 1
Br2 Br 0.3756 0.4360 0.0916 1
Rb2 Rb 0.8880 0.4071 0.2341 1
Cl4 Cl 0.1158 0.0140 0.2438 1
Cl5 Cl 0.8164 0.3174 0.8035 1
Cl6 Cl 0.2687 0.5990 0.7966 1



# RbBrCl3 PBE optimized geometry
# * VASP energy: -2.32 eV/atom
data_RbBrCl3
_chemical_formula_sum 'Rb2 Br2 Cl6'
_symmetry_space_group_name_H-M 'P 1'
_symmetry_Int_Tables_number 1
_symmetry_space_group_name_Hall 'P 1'
_cell_length_a 5.2106
_cell_length_b 7.2218
_cell_length_c 10.3519
_cell_angle_alpha 90.00
_cell_angle_beta 91.58
_cell_angle_gamma 90.00
loop_
_atom_site_label
_atom_site_type_symbol
_atom_site_fract_x
_atom_site_fract_y
_atom_site_fract_z
_atom_site_occupancy
Cl1 Cl 0.2519 0.9349 0.1580 1
Cl2 Cl 0.7481 0.4349 0.8420 1
Cl3 Cl 0.2701 0.7500 0.5650 1
Cl4 Cl 0.7481 0.0651 0.8420 1
Br1 Br 0.3330 0.2500 0.2000 1
Cl5 Cl 0.7299 0.2500 0.4350 1
Rb1 Rb 0.7597 0.7500 0.3771 1
Br2 Br 0.6670 0.7500 0.8000 1
Cl6 Cl 0.2519 0.5651 0.1580 1
Rb2 Rb 0.2403 0.2500 0.6229 1



# RbBrCl3 PBE optimized geometry
# * VASP energy: -2.30 eV/atom
data_RbBrCl3
_chemical_formula_sum 'Rb1 Br1 Cl3'
_symmetry_space_group_name_H-M 'P 1'
_symmetry_Int_Tables_number 1
_symmetry_space_group_name_Hall 'P 1'
_cell_length_a 5.3947
_cell_length_b 5.3947
_cell_length_c 5.3947
_cell_angle_alpha 90.00
_cell_angle_beta 90.00
_cell_angle_gamma 90.00
loop_
_atom_site_label
_atom_site_type_symbol
_atom_site_fract_x
_atom_site_fract_y
_atom_site_fract_z
_atom_site_occupancy
Cl1 Cl 0.0000 0.5000 0.0000 1
Cl2 Cl 0.0000 0.0000 0.5000 1
Br1 Br 0.0000 0.0000 0.0000 1
Rb1 Rb 0.5000 0.5000 0.5000 1
Cl3 Cl 0.5000 0.0000 0.0000 1